## Ta2NiAg (PBE)

Data for Ta2NiAg after structural relaxation.

Geometry as extended XYZ:
```
4
Lattice="2.820 0.000 0.000 0.000 4.064 0.000 -0.504 0.000 5.613" Properties=species:S:1:pos:R:3 pbc="T T T"
Ta -0.046 0.000 1.495
Ta 2.361 0.000 4.118
Ni 1.158 2.032 2.806
Ag 1.410 2.032 0.000
```

Computed properties:
SG ... No. 10
ΔE_f ... 163.0 meV per atom
Total magnetization ... 0.000 μB per formula unit
E above lowest polymorph ... 102.0 meV per atom



## TaNiAg (PBE)

Data for TaNiAg after structural relaxation.

Geometry as extended XYZ:
```
12
Lattice="6.080 0.000 0.000 0.000 6.080 0.000 0.000 0.000 6.080" Properties=species:S:1:pos:R:3 pbc="T T T"
Ta 0.000 0.000 0.000
Ta 0.000 3.040 3.040
Ta 3.040 0.000 3.040
Ta 3.040 3.040 0.000
Ni 1.520 1.520 4.560
Ni 1.520 4.560 1.520
Ni 4.560 1.520 1.520
Ni 4.560 4.560 4.560
Ag 1.520 1.520 1.520
Ag 1.520 4.560 4.560
Ag 4.560 1.520 4.560
Ag 4.560 4.560 1.520
```

Computed properties:
SG ... No. 216
ΔE_f ... 845.3 meV per atom
Total magnetization ... 0.000 μB per formula unit
E above lowest polymorph ... 733.1 meV per atom